# Fe2PdPt3

Fe2PdPt3 after structural relaxation (PBE-GGA, Alexandria).

a = 9.1304 Å, b = 8.6937 Å, c = 4.7632 Å
α = 79.63°, β = 69.49°, γ = 30.88°
Closest atoms and distances in Å follow each position.
Element x y z (fractional)
1 Fe 0.0446 0.0446 0.7054  8 Pt 2.72-2.80, 2 Pd 2.73, 2 Fe 2.80
2 Fe 0.2946 0.2946 0.9554  8 Pt 2.72-2.80, 2 Pd 2.73, 2 Fe 2.80
3 Fe 0.7054 0.7054 0.0446  8 Pt 2.72-2.80, 2 Pd 2.73, 2 Fe 2.80
4 Fe 0.9554 0.9554 0.2946  8 Pt 2.72-2.80, 2 Pd 2.73, 2 Fe 2.80
5 Pd 0.3750 0.3750 0.3750  4 Fe 2.73, 8 Pt 2.73-2.76
6 Pd 0.6250 0.6250 0.6250  4 Fe 2.73, 8 Pt 2.73-2.76
7 Pt 0.1250 0.1250 0.1250  6 Fe 2.73-2.80, 2 Pd 2.73, 4 Pt 2.76
8 Pt 0.2095 0.2095 0.5405  5 Fe 2.72-2.76, 4 Pt 2.73-2.76, 3 Pd 2.73-2.76
9 Pt 0.4595 0.4595 0.7905  5 Fe 2.72-2.76, 4 Pt 2.73-2.76, 3 Pd 2.73-2.76
10 Pt 0.5405 0.5405 0.2095  5 Fe 2.72-2.76, 4 Pt 2.73-2.76, 3 Pd 2.73-2.76
11 Pt 0.7905 0.7905 0.4595  5 Fe 2.72-2.76, 4 Pt 2.73-2.76, 3 Pd 2.73-2.76
12 Pt 0.8750 0.8750 0.8750  6 Fe 2.73-2.80, 2 Pd 2.73, 4 Pt 2.76

Calculated formation energy   -177 meV per atom
Total magnetization   7.64 μB per formula unit
ΔE to the lowest computed polymorph   0.000 eV per atom